# GGA-PBE KGeSe, optimized geometry
data_KGeSe
_chemical_formula_sum 'K4 Ge4 Se4'
_space_group_name_H-M_alt 'P 1'
_space_group_IT_number 1
_cell_length_a 12.853
_cell_length_b 3.844
_cell_length_c 7.846
_cell_angle_alpha 90.00
_cell_angle_beta 109.97
_cell_angle_gamma 90.00
loop_
_space_group_symop_operation_xyz
'x,y,z'
loop_
_atom_site_label
_atom_site_type_symbol
_atom_site_fract_x
_atom_site_fract_y
_atom_site_fract_z
_atom_site_occupancy
K1 K 0.160 0.000 0.190 1
K2 K 0.340 0.500 0.810 1
K3 K 0.660 0.500 0.190 1
K4 K 0.840 0.000 0.810 1
Ge1 Ge 0.099 0.000 0.607 1
Ge2 Ge 0.401 0.500 0.393 1
Ge3 Ge 0.599 0.500 0.607 1
Ge4 Ge 0.901 0.000 0.393 1
Se1 Se 0.064 0.500 0.800 1
Se2 Se 0.436 0.000 0.200 1
Se3 Se 0.564 0.000 0.800 1
Se4 Se 0.936 0.500 0.200 1
# - Offset from the most stable computed form: 0 meV per atom
# - Crystal system: monoclinic
# - Spin magnetization: 0.00 μB/f.u.
# - Raw total energy: -3.685 eV per atom